The following is a DFT calculation (PBE) of a geometry-optimized Ce2ThGa2 structure.

**DOS at the Fermi energy**: 20.422 states/eV/cell
**Energy**: -0.19980 hartree per atom
**E_form**: -0.37 eV/atom

Unit cell a=8.465 b=8.465 c=3.516 alpha=90.00 beta=90.00 gamma=90.00
Sites, in units of the cell vectors:
Ce 0.181 0.319 0.000
Ce 0.319 0.819 0.000
Ce 0.681 0.181 0.000
Ce 0.819 0.681 0.000
Th 0.000 0.000 0.500
Th 0.500 0.500 0.500
Ga 0.115 0.615 0.500
Ga 0.385 0.115 0.500
Ga 0.615 0.885 0.500
Ga 0.885 0.385 0.500